(1)
NdZn2Ag | PBE | relaxed

Unit cell a=7.1044 b=4.4606 c=10.2849 alpha=90.00 beta=90.00 gamma=90.00
Space group Pnma (No. 62)
Asymmetric unit:
1 Nd 0.2163 0.2500 0.1690 (multiplicity 4)
2 Zn 0.0874 0.2500 0.8547 (multiplicity 4)
3 Zn 0.1995 0.7500 0.9609 (multiplicity 4)
4 Ag 0.0335 0.7500 0.4014 (multiplicity 4)

(2)
NdZrAg | PBE | relaxed

Unit cell a=6.8250 b=6.8250 c=6.8250 alpha=90.00 beta=90.00 gamma=90.00
Space group F-43m (No. 216)
Asymmetric unit:
1 Nd 0.0000 0.0000 0.0000 (multiplicity 4)
2 Zr 0.2500 0.2500 0.7500 (multiplicity 4)
3 Ag 0.0000 0.0000 0.5000 (multiplicity 4)

(3)
NiAg | PBE | relaxed

Unit cell a=4.1102 b=4.1102 c=5.0719 alpha=90.00 beta=90.00 gamma=120.00
Space group P6_3/mmc (No. 194)
Asymmetric unit:
1 Ni 0.3333 0.6667 0.2500 (multiplicity 2)
2 Ag 0.3333 0.6667 0.7500 (multiplicity 2)

no.,final energy (eV/f.u.)
1,-11.43
2,-14.10
3,-6.21